Density functional theory data (PBE) for ScTc2Mo after structural relaxation.

Lattice parameters (Å, degrees): 4.4802 4.4802 3.1601 90.00 90.00 90.00
Last column: nearest neighbours and their distance in Å.
Sites, in units of the cell vectors:
Sc (0.0000, 0.0000, 0.0000)  8 Tc 2.74
Tc (0.0000, 0.5000, 0.5000)  4 Mo 2.74, 4 Sc 2.74
Tc (0.5000, 0.0000, 0.5000)  4 Mo 2.74, 4 Sc 2.74
Mo (0.5000, 0.5000, 0.0000)  8 Tc 2.74

Output
Its space group is P4/mmm, No. 123. Its energy above the lowest structure with this stoichiometry is 37 meV/atom.

=====

Density functional theory data (PBE) for ScTcMo after structural relaxation.

Lattice parameters (Å, degrees): 5.3305 5.3305 5.7171 122.28 122.28 49.62
Last column: nearest neighbours and their distance in Å.
Sites, in units of the cell vectors:
Sc (0.0097, 0.0097, 0.2587)  3 Tc 2.74-2.80, 3 Mo 2.81-2.88, 2 Sc 2.85-2.87
Sc (0.9903, 0.9903, 0.7413)  3 Tc 2.74-2.80, 3 Mo 2.81-2.88, 2 Sc 2.85-2.87
Tc (0.3288, 0.3288, 0.7735)  4 Mo 2.68-2.97, 3 Sc 2.74-2.80, 1 Tc 2.75
Tc (0.6712, 0.6712, 0.2265)  4 Mo 2.68-2.97, 3 Sc 2.74-2.80, 1 Tc 2.75
Mo (0.3354, 0.3354, 0.2605)  4 Tc 2.68-2.97, 1 Mo 2.72, 3 Sc 2.81-2.88
Mo (0.6646, 0.6646, 0.7395)  4 Tc 2.68-2.97, 1 Mo 2.72, 3 Sc 2.81-2.88

Output
Its space group is C2/m, No. 12. Its energy above the lowest structure with this stoichiometry is 123 meV/atom.